[1]
Density functional theory data (PBE) for a geometry-optimized Pm7Ho4Pu structure.

Unit cell a=5.4964 b=6.2951 c=13.1972 alpha=76.37 beta=77.98 gamma=64.12
Atoms (fractional coordinates):
Pm 0.6406 0.1885 0.5303
Pm 0.8377 0.0665 0.2581
Pm 0.2215 0.4532 0.1039
Pm 0.3594 0.8115 0.4697
Pm 0.5000 0.0000 0.0000
Pm 0.7785 0.5468 0.8961
Pm 0.1623 0.9335 0.7419
Ho 0.4557 0.3114 0.7773
Ho 0.9103 0.5526 0.6269
Ho 0.5443 0.6886 0.2227
Ho 0.0897 0.4474 0.3731
Pu 0.0000 0.0000 0.0000

Output
N(E_F) (states/eV/cell): 21.1
Formation energy from the elements (meV/atom): 226
SG: No. 12
Magnetic moment (μB/atom): 0.4933

***

[2]
Density functional theory data (PBE) for a geometry-optimized Pm4Ho8Pu structure.

Unit cell a=7.7493 b=7.7493 c=7.7493 alpha=90.20 beta=90.20 gamma=90.20
Atoms (fractional coordinates):
Ho 0.7569 0.2454 0.7569
Ho 0.7562 0.7562 0.7562
Ho 0.2431 0.7546 0.2431
Ho 0.2438 0.2438 0.2438
Ho 0.7569 0.7569 0.2454
Ho 0.7546 0.2431 0.2431
Ho 0.2431 0.2431 0.7546
Ho 0.2454 0.7569 0.7569
Pm 0.5000 0.5000 0.0000
Pm 0.0000 0.0000 0.0000
Pm 0.5000 0.0000 0.5000
Pm 0.0000 0.5000 0.5000
Pu 0.5000 0.5000 0.5000

Output
N(E_F) (states/eV/cell): 21.9
Formation energy from the elements (meV/atom): 536
SG: No. 166
Magnetic moment (μB/atom): 0.5330

***

[3]
Density functional theory data (PBE) for a geometry-optimized Pm2Ho6Pu structure.

Unit cell a=6.2264 b=6.6835 c=14.1240 alpha=97.69 beta=102.66 gamma=90.00
Atoms (fractional coordinates):
Ho 0.9745 0.4688 0.7848
Ho 0.3050 0.8088 0.4414
Ho 0.2509 0.0853 0.6695
Ho 0.6416 0.1336 0.1075
Ho 0.1911 0.0285 0.2150
Ho 0.6950 0.1912 0.5586
Ho 0.8089 0.9715 0.7850
Ho 0.5327 0.3646 0.8926
Ho 0.0255 0.5312 0.2152
Ho 0.3584 0.8664 0.8925
Ho 0.4673 0.6354 0.1074
Ho 0.7491 0.9147 0.3305
Pm 0.8620 0.6965 0.5579
Pm 0.1380 0.3035 0.4421
Pm 0.5845 0.4154 0.3312
Pm 0.4155 0.5846 0.6688
Pu 0.9237 0.7497 0.9996
Pu 0.0763 0.2503 0.0004

Output
N(E_F) (states/eV/cell): 35.8
Formation energy from the elements (meV/atom): 47
SG: No. 2
Magnetic moment (μB/atom): 0.7109

***

[4]
Density functional theory data (PBE) for a geometry-optimized Pm6Ho8Pu structure.

Unit cell a=8.6155 b=8.6155 c=8.6155 alpha=63.42 beta=63.42 gamma=63.42
Atoms (fractional coordinates):
Ho 0.1109 0.7165 0.7520
Ho 0.7165 0.7520 0.1109
Ho 0.7520 0.1109 0.7165
Ho 0.8891 0.2835 0.2480
Ho 0.2835 0.2480 0.8891
Ho 0.4237 0.4237 0.4237
Ho 0.5763 0.5763 0.5763
Ho 0.2480 0.8891 0.2835
Pm 0.5454 0.2223 0.1082
Pm 0.2223 0.1082 0.5454
Pm 0.7777 0.8918 0.4546
Pm 0.8918 0.4546 0.7777
Pm 0.1082 0.5454 0.2223
Pm 0.4546 0.7777 0.8918
Pu 0.0000 0.0000 0.0000

Output
N(E_F) (states/eV/cell): 19.9
Formation energy from the elements (meV/atom): 115
SG: No. 148
Magnetic moment (μB/atom): 0.4311

***

[5]
Density functional theory data (PBE) for a geometry-optimized Pm4Ho5Pu structure.

Unit cell a=5.6813 b=11.4925 c=10.1983 alpha=90.00 beta=90.00 gamma=90.00
Atoms (fractional coordinates):
Pm 0.7503 0.1847 0.0000
Pm 0.7511 0.0000 0.2830
Pm 0.7503 0.8153 0.0000
Pm 0.2489 0.5000 0.7830
Pm 0.2497 0.6847 0.5000
Pm 0.7511 0.0000 0.7170
Pm 0.2497 0.3153 0.5000
Pm 0.2489 0.5000 0.2170
Ho 0.7483 0.5000 0.0000
Ho 0.7497 0.6915 0.6935
Ho 0.7497 0.3085 0.3065
Ho 0.2503 0.1915 0.8065
Ho 0.2503 0.8085 0.1935
Ho 0.7497 0.6915 0.3065
Ho 0.2503 0.8085 0.8065
Ho 0.7497 0.3085 0.6935
Ho 0.2503 0.1915 0.1935
Ho 0.2517 0.0000 0.5000
Pu 0.7499 0.5000 0.5000
Pu 0.2501 0.0000 0.0000

Output
N(E_F) (states/eV/cell): 37.3
Formation energy from the elements (meV/atom): 253
SG: No. 59
Magnetic moment (μB/atom): 0.6050

***

[6]
Density functional theory data (PBE) for a geometry-optimized Pm10Ho4Pu structure.

Unit cell a=7.6869 b=8.9880 c=8.9880 alpha=79.46 beta=64.68 gamma=64.68
Atoms (fractional coordinates):
Pm 0.2806 0.2120 0.7879
Pm 0.5074 0.2121 0.2120
Pm 0.7195 0.2120 0.7879
Pm 0.9315 0.7879 0.7880
Pm 0.7500 0.5000 0.5000
Pm 0.2805 0.7880 0.2121
Pm 0.0685 0.2121 0.2120
Pm 0.7194 0.7880 0.2121
Pm 0.2500 0.5000 0.5000
Pm 0.4926 0.7879 0.7880
Ho 0.7656 0.0000 0.4688
Ho 0.7656 0.4688 0.0000
Ho 0.2344 0.5312 0.0000
Ho 0.2344 0.0000 0.5312
Pu 0.0000 0.0000 0.0000

Output
N(E_F) (states/eV/cell): 23.2
Formation energy from the elements (meV/atom): 239
SG: No. 139
Magnetic moment (μB/atom): 0.4306